VASP calculation (GGA-PBE) on a geometry-optimized AcSm2Ir structure.

Cell: 4.143 4.143 9.652 Å, 77.61 77.61 60.00°
Element x y z (fractional)
Ac  0.501  0.501  0.496
Sm  0.052  0.052  0.843
Sm  0.280  0.280  0.160
Ir  0.666  0.666  0.001

Computed properties:
**Calculated total energy**: -23.84 eV per cell
**Symmetry**: No. 160